# Mn2Cu2O

Crystalline Mn2Cu2O at its relaxed geometry (PBE with a Hubbard U, Alexandria).

POSCAR file:
```
Mn2Cu2O
1.0
-1.3135 -1.7178 -3.2067
-2.2286 -2.3147 2.1528
-5.8600 1.6512 -0.8166
Mn O Cu
2 1 2
Direct
0.7500 0.2500 0.5000
0.2500 0.7500 0.5000
0.0000 0.0000 0.0000
0.3970 0.3970 0.2060
0.6030 0.6030 0.7940
```

Results
ΔE to the lowest computed polymorph (meV per atom): 568
M_tot (μB/f.u.): 9.8